[1]
# La6Pt2I3N, optimized geometry, DFT GGA-PBE
# N(E_F)	15.21	states/eV/cell
# uncorrected formation energy	-1175	meV per atom
data_La6Pt2I3N
_space_group_name_H-M_alt 'C 1 2/m 1'
_space_group_IT_number 12
_space_group_name_Hall '-C 2y'
_cell_length_a 7.172
_cell_length_b 12.427
_cell_length_c 8.529
_cell_angle_alpha 90.00
_cell_angle_beta 106.14
_cell_angle_gamma 90.00
loop_
_atom_site_label
_atom_site_fract_x
_atom_site_fract_y
_atom_site_fract_z
La1 0.212 0.150 0.185
La2 0.236 0.000 0.811
Pt1 0.000 0.334 0.000
I1 0.000 0.173 0.500
I2 0.000 0.500 0.500
N1 0.000 0.000 0.000

=====

[2]
# ZrRh2W, optimized geometry, DFT GGA-PBE
# N(E_F)	4.82	states/eV/cell
# energy relative to the elements	-0.0886	eV/atom
data_ZrRh2W
_space_group_name_H-M_alt 'P 1 2/m 1'
_space_group_IT_number 10
_space_group_name_Hall '-P 2y'
_cell_length_a 4.803
_cell_length_b 2.899
_cell_length_c 4.995
_cell_angle_alpha 90.00
_cell_angle_beta 109.28
_cell_angle_gamma 90.00
loop_
_atom_site_label
_atom_site_fract_x
_atom_site_fract_y
_atom_site_fract_z
Zr1 0.000 0.000 0.000
Rh1 0.500 0.000 0.500
Rh2 0.500 0.500 0.000
W1 0.000 0.500 0.500

=====

[3]
# Li2ScFe, optimized geometry, DFT GGA-PBE
# N(E_F)	9.73	states/eV/cell
# energy relative to the elements	0.3730	eV/atom
data_Li2ScFe
_space_group_name_H-M_alt 'C m m m'
_space_group_IT_number 65
_space_group_name_Hall '-C 2 2'
_cell_length_a 5.011
_cell_length_b 9.580
_cell_length_c 2.797
_cell_angle_alpha 90.00
_cell_angle_beta 90.00
_cell_angle_gamma 90.00
loop_
_atom_site_label
_atom_site_fract_x
_atom_site_fract_y
_atom_site_fract_z
Li1 0.250 0.250 0.000
Sc1 0.000 0.000 0.500
Fe1 0.000 0.500 0.500

=====

[4]
# Ho7Ge2Bi2, optimized geometry, DFT GGA-PBE
# N(E_F)	27.45	states/eV/cell
# energy relative to the elements	-0.4091	eV/atom
data_Ho7Ge2Bi2
_space_group_name_H-M_alt 'C m m m'
_space_group_IT_number 65
_space_group_name_Hall '-C 2 2'
_cell_length_a 9.094
_cell_length_b 10.700
_cell_length_c 6.817
_cell_angle_alpha 90.00
_cell_angle_beta 90.00
_cell_angle_gamma 90.00
loop_
_atom_site_label
_atom_site_fract_x
_atom_site_fract_y
_atom_site_fract_z
Ho1 0.000 0.000 0.000
Ho2 0.000 0.500 0.244
Ho3 0.250 0.250 0.252
Ge1 0.000 0.272 0.000
Bi1 0.195 0.000 0.500

=====

[5]
# Tb4Pm2TmSc, optimized geometry, DFT GGA-PBE
# N(E_F)	11.57	states/eV/cell
# energy relative to the elements	0.0317	eV/atom
data_Tb4Pm2TmSc
_space_group_name_H-M_alt 'P 4/m m m'
_space_group_IT_number 123
_space_group_name_Hall '-P 4 2'
_cell_length_a 5.015
_cell_length_b 5.015
_cell_length_c 9.957
_cell_angle_alpha 90.00
_cell_angle_beta 90.00
_cell_angle_gamma 90.00
loop_
_atom_site_label
_atom_site_fract_x
_atom_site_fract_y
_atom_site_fract_z
Tb1 0.000 0.500 0.246
Pm1 0.000 0.000 0.000
Pm2 0.500 0.500 0.500
Tm1 0.000 0.000 0.500
Sc1 0.500 0.500 0.000